# HfNiTe2Os | Alexandria via LeMat-Bulk | PBE | optimized geometry
# DOS(E_F) in states/eV per cell: 5.69
# DFT total energy in Ry/atom: -0.419
# Crystal system: tetragonal
# Raw formation energy in eV per atom: 0.951
data_HfNiTe2Os
_space_group_name_H-M_alt 'P 4/m m m'
_space_group_IT_number 123
_space_group_name_Hall '-P 4 2'
_cell_length_a 4.809
_cell_length_b 4.809
_cell_length_c 4.655
_cell_angle_alpha 90.00
_cell_angle_beta 90.00
_cell_angle_gamma 90.00
loop_
_atom_site_label
_atom_site_fract_x
_atom_site_fract_y
_atom_site_fract_z
Hf1 0.000 0.000 0.000
Ni1 0.000 0.000 0.500
Te1 0.000 0.500 0.500
Os1 0.500 0.500 0.000